## Na2LiVF6 (GGA+U)

Data for an optimized crystal structure of Na2LiVF6.

abc: 5.5844 5.5844 5.5844
angles: 60.00 60.00 60.00
Each line ends with the local moment (μB).
Fractional coordinates of all 10 atoms:
Na  0.7500  0.7500  0.7500  0.00
Na  0.2500  0.2500  0.2500  0.00
Li  0.5000  0.5000  0.5000  0.00
V  0.0000  0.0000  0.0000  1.95
F  0.7522  0.2478  0.2478  -0.01
F  0.2478  0.2478  0.7522  -0.01
F  0.2478  0.7522  0.7522  -0.01
F  0.2478  0.7522  0.2478  -0.01
F  0.7522  0.2478  0.7522  -0.01
F  0.7522  0.7522  0.2478  -0.01

## Properties
The density of states at the Fermi level is 9.9 states/eV per cell. The energy is -5.08 eV per atom.